First-principles (GGA-PBE) data for an optimized crystal structure of BeZnIn2, as listed in the Alexandria database.

Cell lengths 4.3782, 4.3782, 4.0113 Å; angles 90.00, 90.00, 90.00 degrees
Last column: nearest neighbours and their distance in Å.
Element x y z (fractional)
Be (0.0000, 0.0000, 0.0000)  8 In 2.97, 4 Zn 3.10
Zn (0.5000, 0.5000, 0.0000)  8 In 2.97, 4 Be 3.10
In (0.0000, 0.5000, 0.5000)  4 Be 2.97, 4 Zn 2.97, 4 In 3.10
In (0.5000, 0.0000, 0.5000)  4 Be 2.97, 4 Zn 2.97, 4 In 3.10

Output
* SG: P4/mmm (123)
* raw total energy: -2.20 eV per atom
* formation energy: 1.66 eV/f.u.